Model 1:
An optimized crystal structure of Ga3CoCu. Source: the Alexandria database, functional PBE.

CIF file:
```
data_Ga3CoCu
_symmetry_space_group_name_H-M 'P m -3 m'
_symmetry_Int_Tables_number 221
_symmetry_space_group_name_Hall '-P 4 2 3'
_cell_length_a 4.502
_cell_length_b 4.502
_cell_length_c 4.502
_cell_angle_alpha 90.00
_cell_angle_beta 90.00
_cell_angle_gamma 90.00
loop_
_atom_site_label
_atom_site_fract_x
_atom_site_fract_y
_atom_site_fract_z
_atom_site_occupancy
Ga1 0.000 0.000 0.500 1
Co1 0.000 0.000 0.000 1
Cu1 0.500 0.500 0.500 1
```

=====

Model 2:
An optimized crystal structure of Ga3CoCu. Source: the Alexandria database, functional PBE.

CIF file:
```
data_Ga3CoCu
_symmetry_space_group_name_H-M 'P 1 21/c 1'
_symmetry_Int_Tables_number 14
_symmetry_space_group_name_Hall '-P 2ybc'
_cell_length_a 6.292
_cell_length_b 5.828
_cell_length_c 8.971
_cell_angle_alpha 90.00
_cell_angle_beta 111.83
_cell_angle_gamma 90.00
loop_
_atom_site_label
_atom_site_fract_x
_atom_site_fract_y
_atom_site_fract_z
_atom_site_occupancy
Ga1 0.022 0.097 0.349 1
Ga2 0.362 0.141 0.109 1
Ga3 0.422 0.651 0.080 1
Co1 0.288 0.639 0.779 1
Cu1 0.058 0.661 0.439 1
```

=====

Model 3:
An optimized crystal structure of Ga3CoCu. Source: the Alexandria database, functional PBE.

CIF file:
```
data_Ga3CoCu
_symmetry_space_group_name_H-M 'C 1 2/c 1'
_symmetry_Int_Tables_number 15
_symmetry_space_group_name_Hall '-C 2yc'
_cell_length_a 12.536
_cell_length_b 12.175
_cell_length_c 4.053
_cell_angle_alpha 90.00
_cell_angle_beta 108.83
_cell_angle_gamma 90.00
loop_
_atom_site_label
_atom_site_fract_x
_atom_site_fract_y
_atom_site_fract_z
_atom_site_occupancy
Ga1 0.112 0.091 0.361 1
Ga2 0.122 0.411 0.372 1
Ga3 0.126 0.246 0.876 1
Co1 0.000 0.255 0.250 1
Co2 0.000 0.417 0.750 1
Cu1 0.243 0.073 0.992 1
```

=====

It is model 3 that is most stable; the runner-up trails by 3.8 kJ/mol of atoms.

=====

Model 1:
An optimized crystal structure of Ga2CoCu2. Source: the Alexandria database, functional PBE.

CIF file:
```
data_Ga2CoCu2
_symmetry_space_group_name_H-M 'P 4/m b m'
_symmetry_Int_Tables_number 127
_symmetry_space_group_name_Hall '-P 4 2ab'
_cell_length_a 6.800
_cell_length_b 6.800
_cell_length_c 2.916
_cell_angle_alpha 90.00
_cell_angle_beta 90.00
_cell_angle_gamma 90.00
loop_
_atom_site_label
_atom_site_fract_x
_atom_site_fract_y
_atom_site_fract_z
_atom_site_occupancy
Ga1 0.159 0.341 0.000 1
Co1 0.000 0.000 0.000 1
Cu1 0.141 0.641 0.500 1
```

=====

Model 2:
An optimized crystal structure of Ga2CoCu2. Source: the Alexandria database, functional PBE.

CIF file:
```
data_Ga2CoCu2
_symmetry_space_group_name_H-M 'P 4/m b m'
_symmetry_Int_Tables_number 127
_symmetry_space_group_name_Hall '-P 4 2ab'
_cell_length_a 6.943
_cell_length_b 6.943
_cell_length_c 2.769
_cell_angle_alpha 90.00
_cell_angle_beta 90.00
_cell_angle_gamma 90.00
loop_
_atom_site_label
_atom_site_fract_x
_atom_site_fract_y
_atom_site_fract_z
_atom_site_occupancy
Ga1 0.176 0.324 0.000 1
Co1 0.000 0.000 0.500 1
Cu1 0.125 0.625 0.500 1
```

=====

It is model 1 that is most stable; the runner-up trails by 2.2 kJ/mol of atoms.

=====

Model 1:
An optimized crystal structure of Ga4CoCu. Source: the Alexandria database, functional PBE.

CIF file:
```
data_Ga4CoCu
_symmetry_space_group_name_H-M 'I 41/a m d'
_symmetry_Int_Tables_number 141
_cell_length_a 5.785
_cell_length_b 5.785
_cell_length_c 11.426
_cell_angle_alpha 90.00
_cell_angle_beta 90.00
_cell_angle_gamma 90.00
loop_
_symmetry_equiv_pos_as_xyz
'x,y,z'
'-x,-y,-z'
'-y+1/4,x+3/4,z+1/4'
'y+1/4,-x+3/4,-z+1/4'
'-x+1/2,-y,z+1/2'
'x+1/2,y,-z+1/2'
'y+1/4,-x+1/4,z+3/4'
'-y+1/4,x+1/4,-z+3/4'
'x,-y,-z'
'-x,y,z'
'-y+1/4,-x+1/4,-z+3/4'
'y+1/4,x+1/4,z+3/4'
'-x+1/2,y,-z+1/2'
'x+1/2,-y,z+1/2'
'y+1/4,x+3/4,-z+1/4'
'-y+1/4,-x+3/4,z+1/4'
'x+1/2,y+1/2,z+1/2'
'-x+1/2,-y+1/2,-z+1/2'
'-y+3/4,x+1/4,z+3/4'
'y+3/4,-x+1/4,-z+3/4'
'-x,-y+1/2,z'
'x,y+1/2,-z'
'y+3/4,-x+3/4,z+1/4'
'-y+3/4,x+3/4,-z+1/4'
'x+1/2,-y+1/2,-z+1/2'
'-x+1/2,y+1/2,z+1/2'
'-y+3/4,-x+3/4,-z+1/4'
'y+3/4,x+3/4,z+1/4'
'-x,y+1/2,-z'
'x,-y+1/2,z'
'y+3/4,x+1/4,-z+3/4'
'-y+3/4,-x+1/4,z+3/4'
loop_
_atom_site_label
_atom_site_fract_x
_atom_site_fract_y
_atom_site_fract_z
_atom_site_occupancy
Ga1 0.236 0.000 0.000 1
Co1 0.000 0.250 0.875 1
Cu1 0.000 0.250 0.375 1
```

=====

Model 2:
An optimized crystal structure of Ga4CoCu. Source: the Alexandria database, functional PBE.

CIF file:
```
data_Ga4CoCu
_symmetry_space_group_name_H-M 'C 1 2/c 1'
_symmetry_Int_Tables_number 15
_symmetry_space_group_name_Hall '-C 2yc'
_cell_length_a 8.063
_cell_length_b 10.592
_cell_length_c 5.261
_cell_angle_alpha 90.00
_cell_angle_beta 123.54
_cell_angle_gamma 90.00
loop_
_atom_site_label
_atom_site_fract_x
_atom_site_fract_y
_atom_site_fract_z
_atom_site_occupancy
Ga1 0.114 0.181 0.090 1
Ga2 0.207 0.424 0.290 1
Co1 0.000 0.006 0.250 1
Cu1 0.000 0.373 0.750 1
```

=====

It is model 1 that is most stable; the runner-up trails by 4.8 kJ/mol of atoms.

=====

Model 1:
An optimized crystal structure of GaCo2CuH. Source: the Alexandria database, functional PBE.

CIF file:
```
data_GaCo2CuH
_symmetry_space_group_name_H-M 'P 4/m m m'
_symmetry_Int_Tables_number 123
_symmetry_space_group_name_Hall '-P 4 2'
_cell_length_a 3.680
_cell_length_b 3.680
_cell_length_c 3.600
_cell_angle_alpha 90.00
_cell_angle_beta 90.00
_cell_angle_gamma 90.00
loop_
_atom_site_label
_atom_site_fract_x
_atom_site_fract_y
_atom_site_fract_z
_atom_site_occupancy
Ga1 0.000 0.000 0.000 1
Co1 0.000 0.500 0.500 1
Cu1 0.500 0.500 0.000 1
H1 0.500 0.500 0.500 1
```

=====

Model 2:
An optimized crystal structure of GaCo2CuH. Source: the Alexandria database, functional PBE.

CIF file:
```
data_GaCo2CuH
_symmetry_space_group_name_H-M 'P 4/m m m'
_symmetry_Int_Tables_number 123
_symmetry_space_group_name_Hall '-P 4 2'
_cell_length_a 3.587
_cell_length_b 3.587
_cell_length_c 3.867
_cell_angle_alpha 90.00
_cell_angle_beta 90.00
_cell_angle_gamma 90.00
loop_
_atom_site_label
_atom_site_fract_x
_atom_site_fract_y
_atom_site_fract_z
_atom_site_occupancy
Ga1 0.000 0.000 0.000 1
Co1 0.000 0.500 0.500 1
Cu1 0.500 0.500 0.000 1
H1 0.000 0.000 0.500 1
```

=====

It is model 1 that is most stable; the runner-up trails by 14.6 kJ/mol of atoms.

=====

Model 1:
An optimized crystal structure of CoCu2Ge. Source: the Alexandria database, functional PBE.

CIF file:
```
data_CoCu2Ge
_symmetry_space_group_name_H-M 'P 4/m m m'
_symmetry_Int_Tables_number 123
_symmetry_space_group_name_Hall '-P 4 2'
_cell_length_a 3.547
_cell_length_b 3.547
_cell_length_c 3.846
_cell_angle_alpha 90.00
_cell_angle_beta 90.00
_cell_angle_gamma 90.00
loop_
_atom_site_label
_atom_site_fract_x
_atom_site_fract_y
_atom_site_fract_z
_atom_site_occupancy
Co1 0.000 0.000 0.000 1
Cu1 0.000 0.500 0.500 1
Ge1 0.500 0.500 0.000 1
```

=====

Model 2:
An optimized crystal structure of CoCu2Ge. Source: the Alexandria database, functional PBE.

CIF file:
```
data_CoCu2Ge
_symmetry_space_group_name_H-M 'I -4 2 d'
_symmetry_Int_Tables_number 122
_symmetry_space_group_name_Hall 'I -4 2bw'
_cell_length_a 3.433
_cell_length_b 3.433
_cell_length_c 17.953
_cell_angle_alpha 90.00
_cell_angle_beta 90.00
_cell_angle_gamma 90.00
loop_
_atom_site_label
_atom_site_fract_x
_atom_site_fract_y
_atom_site_fract_z
_atom_site_occupancy
Co1 0.000 0.000 0.000 1
Cu1 0.247 0.250 0.125 1
Ge1 0.000 0.000 0.500 1
```

=====

Model 3:
An optimized crystal structure of CoCu2Ge. Source: the Alexandria database, functional PBE.

CIF file:
```
data_CoCu2Ge
_symmetry_space_group_name_H-M 'F m -3 m'
_symmetry_Int_Tables_number 225
_symmetry_space_group_name_Hall '-F 4 2 3'
_cell_length_a 5.831
_cell_length_b 5.831
_cell_length_c 5.831
_cell_angle_alpha 90.00
_cell_angle_beta 90.00
_cell_angle_gamma 90.00
loop_
_atom_site_label
_atom_site_fract_x
_atom_site_fract_y
_atom_site_fract_z
_atom_site_occupancy
Co1 0.000 0.000 0.000 1
Cu1 0.250 0.250 0.250 1
Ge1 0.000 0.000 0.500 1
```

=====

It is model 1 that is most stable; the runner-up trails by 18.3 kJ/mol of atoms.

=====

Model 1:
An optimized crystal structure of CoCu3Ge. Source: the Alexandria database, functional PBE.

CIF file:
```
data_CoCu3Ge
_symmetry_space_group_name_H-M 'P m -3 m'
_symmetry_Int_Tables_number 221
_symmetry_space_group_name_Hall '-P 4 2 3'
_cell_length_a 4.412
_cell_length_b 4.412
_cell_length_c 4.412
_cell_angle_alpha 90.00
_cell_angle_beta 90.00
_cell_angle_gamma 90.00
loop_
_atom_site_label
_atom_site_fract_x
_atom_site_fract_y
_atom_site_fract_z
_atom_site_occupancy
Co1 0.000 0.000 0.000 1
Cu1 0.000 0.000 0.500 1
Ge1 0.500 0.500 0.500 1
```

=====

Model 2:
An optimized crystal structure of CoCu3Ge. Source: the Alexandria database, functional PBE.

CIF file:
```
data_CoCu3Ge
_symmetry_space_group_name_H-M 'P m -3 m'
_symmetry_Int_Tables_number 221
_symmetry_space_group_name_Hall '-P 4 2 3'
_cell_length_a 4.425
_cell_length_b 4.425
_cell_length_c 4.425
_cell_angle_alpha 90.00
_cell_angle_beta 90.00
_cell_angle_gamma 90.00
loop_
_atom_site_label
_atom_site_fract_x
_atom_site_fract_y
_atom_site_fract_z
_atom_site_occupancy
Co1 0.000 0.000 0.000 1
Cu1 0.000 0.500 0.500 1
Ge1 0.500 0.500 0.500 1
```

=====

It is model 2 that is most stable; the runner-up trails by 0.9 kJ/mol of atoms.

=====

Model 1:
An optimized crystal structure of CoCuGe2. Source: the Alexandria database, functional PBE.

CIF file:
```
data_CoCuGe2
_symmetry_space_group_name_H-M 'R -3 m'
_symmetry_Int_Tables_number 166
_symmetry_space_group_name_Hall '-R 3 2"'
_cell_length_a 2.8973
_cell_length_b 2.8973
_cell_length_c 24.8420
_cell_angle_alpha 90.00
_cell_angle_beta 90.00
_cell_angle_gamma 120.00
loop_
_atom_site_label
_atom_site_fract_x
_atom_site_fract_y
_atom_site_fract_z
_atom_site_occupancy
Co1 0.0000 0.0000 0.0000 1
Cu1 0.0000 0.0000 0.5000 1
Ge1 0.0000 0.0000 0.4047 1
```

=====

Model 2:
An optimized crystal structure of CoCuGe2. Source: the Alexandria database, functional PBE.

CIF file:
```
data_CoCuGe2
_symmetry_space_group_name_H-M 'F m -3 m'
_symmetry_Int_Tables_number 225
_symmetry_space_group_name_Hall '-F 4 2 3'
_cell_length_a 6.017
_cell_length_b 6.017
_cell_length_c 6.017
_cell_angle_alpha 90.00
_cell_angle_beta 90.00
_cell_angle_gamma 90.00
loop_
_atom_site_label
_atom_site_fract_x
_atom_site_fract_y
_atom_site_fract_z
_atom_site_occupancy
Co1 0.000 0.000 0.000 1
Cu1 0.000 0.000 0.500 1
Ge1 0.250 0.250 0.250 1
```

=====

It is model 1 that is most stable; the runner-up trails by 6.9 kJ/mol of atoms.

=====

Model 1:
An optimized crystal structure of CoCuGe2. Source: the Alexandria database, functional PBE.

CIF file:
```
data_CoCuGe2
_symmetry_space_group_name_H-M 'I -4 2 d'
_symmetry_Int_Tables_number 122
_symmetry_space_group_name_Hall 'I -4 2bw'
_cell_length_a 6.828
_cell_length_b 6.828
_cell_length_c 5.244
_cell_angle_alpha 90.00
_cell_angle_beta 90.00
_cell_angle_gamma 90.00
loop_
_atom_site_label
_atom_site_fract_x
_atom_site_fract_y
_atom_site_fract_z
_atom_site_occupancy
Co1 0.000 0.000 0.000 1
Cu1 0.000 0.000 0.500 1
Ge1 0.220 0.250 0.125 1
```

=====

Model 2:
An optimized crystal structure of CoCuGe2. Source: the Alexandria database, functional PBE.

CIF file:
```
data_CoCuGe2
_symmetry_space_group_name_H-M 'R 3 m'
_symmetry_Int_Tables_number 160
_symmetry_space_group_name_Hall 'R 3 -2"'
_cell_length_a 3.8703
_cell_length_b 3.8703
_cell_length_c 13.6210
_cell_angle_alpha 90.00
_cell_angle_beta 90.00
_cell_angle_gamma 120.00
loop_
_atom_site_label
_atom_site_fract_x
_atom_site_fract_y
_atom_site_fract_z
_atom_site_occupancy
Co1 0.0000 0.0000 0.0000 1
Cu1 0.0000 0.0000 0.8127 1
Ge1 0.0000 0.0000 0.3903 1
Ge2 0.0000 0.0000 0.5896 1
```

=====

It is model 2 that is most stable; the runner-up trails by 31.7 kJ/mol of atoms.

=====

Model 1:
An optimized crystal structure of Co2CuGe2. Source: the Alexandria database, functional PBE.

CIF file:
```
data_Co2CuGe2
_symmetry_space_group_name_H-M 'I 4/m m m'
_symmetry_Int_Tables_number 139
_symmetry_space_group_name_Hall '-I 4 2'
_cell_length_a 3.776
_cell_length_b 3.776
_cell_length_c 10.086
_cell_angle_alpha 90.00
_cell_angle_beta 90.00
_cell_angle_gamma 90.00
loop_
_atom_site_label
_atom_site_fract_x
_atom_site_fract_y
_atom_site_fract_z
_atom_site_occupancy
Co1 0.000 0.500 0.250 1
Cu1 0.000 0.000 0.000 1
Ge1 0.000 0.000 0.381 1
```

=====

Model 2:
An optimized crystal structure of Co2CuGe2. Source: the Alexandria database, functional PBE.

CIF file:
```
data_Co2CuGe2
_symmetry_space_group_name_H-M 'P m m a'
_symmetry_Int_Tables_number 51
_symmetry_space_group_name_Hall '-P 2a 2a'
_cell_length_a 5.013
_cell_length_b 3.873
_cell_length_c 6.689
_cell_angle_alpha 90.00
_cell_angle_beta 90.00
_cell_angle_gamma 90.00
loop_
_atom_site_label
_atom_site_fract_x
_atom_site_fract_y
_atom_site_fract_z
_atom_site_occupancy
Co1 0.000 0.000 0.000 1
Co2 0.250 0.000 0.340 1
Cu1 0.000 0.500 0.500 1
Ge1 0.250 0.000 0.696 1
Ge2 0.250 0.500 0.122 1
```

=====

Model 3:
An optimized crystal structure of Co2CuGe2. Source: the Alexandria database, functional PBE.

CIF file:
```
data_Co2CuGe2
_symmetry_space_group_name_H-M 'P 4/m b m'
_symmetry_Int_Tables_number 127
_symmetry_space_group_name_Hall '-P 4 2ab'
_cell_length_a 6.802
_cell_length_b 6.802
_cell_length_c 2.743
_cell_angle_alpha 90.00
_cell_angle_beta 90.00
_cell_angle_gamma 90.00
loop_
_atom_site_label
_atom_site_fract_x
_atom_site_fract_y
_atom_site_fract_z
_atom_site_occupancy
Co1 0.138 0.362 0.000 1
Cu1 0.000 0.000 0.000 1
Ge1 0.160 0.660 0.500 1
```

=====

It is model 2 that is most stable; the runner-up trails by 10.2 kJ/mol of atoms.